Entry from the Alexandria database: a relaxed ScHg2Pb crystal (PBE-GGA).

Raw total energy   -2.847 eV/atom
Total moment   0.000 μB per atom
SG   I4/mmm
E_form   -0.75 eV per formula unit

CIF file:
```
data_ScHg2Pb
_cell_length_a 5.8010
_cell_length_b 5.8010
_cell_length_c 5.8010
_cell_angle_alpha 135.22
_cell_angle_beta 135.22
_cell_angle_gamma 65.19
_symmetry_space_group_name_H-M 'P 1'
_symmetry_Int_Tables_number 1
_symmetry_space_group_name_Hall 'P 1'
loop_
_atom_site_label
_atom_site_type_symbol
_atom_site_fract_x
_atom_site_fract_y
_atom_site_fract_z
_atom_site_occupancy
Sc1 Sc 0.0000 0.0000 0.0000 1
Hg1 Hg 0.2500 0.7500 0.5000 1
Hg2 Hg 0.7500 0.2500 0.5000 1
Pb1 Pb 0.5000 0.5000 0.0000 1
```